one | Entry from Alexandria via LeMat-Bulk: a relaxed structure of Li2TaNi (PBE).

a b c (Å): 4.1717 4.1717 4.1717
angles (deg): 60.00 60.00 60.00
Positions (direct):
Ni1 0.0000 0.0000 0.0000
Li1 0.2500 0.2500 0.2500
Li2 0.7500 0.7500 0.7500
Ta1 0.5000 0.5000 0.5000

Summary:
* M_tot: 0.00 μB per cell

---

two | Entry from Alexandria via LeMat-Bulk: a relaxed structure of Li2TaNi (PBE).

a b c (Å): 2.6467 4.4160 4.9331
angles (deg): 90.00 90.00 90.00
Positions (direct):
Li1 0.0000 0.0000 0.0198
Li2 0.0000 0.0000 0.4802
Ni1 0.5000 0.5000 0.2500
Ta1 0.5000 0.5000 0.7500

Summary:
* M_tot: 0.00 μB per cell

---

The data favor two; the next most stable structure lies 281 meV per atom above it.

---

one | Entry from Alexandria via LeMat-Bulk: a relaxed structure of Li2TaNi (PBE).

a b c (Å): 4.2294 4.2294 4.2184
angles (deg): 120.03 120.03 90.09
Positions (direct):
Li1 0.0000 0.0000 0.0000
Li2 0.7500 0.2500 0.5000
Ni1 0.5000 0.5000 0.0000
Ta1 0.2500 0.7500 0.5000

Summary:
* M_tot: 0.00 μB per cell

---

two | Entry from Alexandria via LeMat-Bulk: a relaxed structure of Li2TaNi (PBE).

a b c (Å): 5.3846 5.3846 5.3846
angles (deg): 141.83 141.83 55.08
Site moments in Bohr magnetons follow the coordinates.
Positions (direct):
Li1 0.0000 0.0000 0.0000  0.01
Li2 0.5000 0.5000 0.0000  0.01
Ni1 0.2500 0.7500 0.5000  0.09
Ta1 0.7500 0.2500 0.5000  0.40

Summary:
* M_tot: 0.77 μB per cell

---

three | Entry from Alexandria via LeMat-Bulk: a relaxed structure of Li2TaNi (PBE).

a b c (Å): 2.6288 2.6288 9.1930
angles (deg): 90.00 90.00 110.97
Positions (direct):
Li1 0.0000 0.0000 0.0331
Li2 0.0000 0.0000 0.4669
Ni1 0.5000 0.5000 0.2500
Ta1 0.5000 0.5000 0.7500

Summary:
* M_tot: 0.00 μB per cell

---

The data favor one; the next most stable structure lies 11 meV per atom above it.

---

one | Entry from Alexandria via LeMat-Bulk: a relaxed structure of Li2TaNi (PBE).

a b c (Å): 4.2682 4.2682 2.9535
angles (deg): 90.00 90.00 90.00
Positions (direct):
Li1 0.0000 0.0000 0.0000
Li2 0.5000 0.5000 0.0000
Ni1 0.5000 0.0000 0.5000
Ta1 0.0000 0.5000 0.5000

Summary:
* M_tot: 0.00 μB per cell

---

two | Entry from Alexandria via LeMat-Bulk: a relaxed structure of Li2TaNi (PBE).

a b c (Å): 2.7781 2.9086 7.5686
angles (deg): 90.00 90.00 90.00
Positions (direct):
Li1 0.0000 0.0000 0.0150
Li2 0.5000 0.5000 0.2878
Ni1 0.0000 0.0000 0.4898
Ta1 0.5000 0.5000 0.7075

Summary:
* M_tot: 0.00 μB per cell

---

three | Entry from Alexandria via LeMat-Bulk: a relaxed structure of Li2TaNi (PBE).

a b c (Å): 6.8783 6.8783 5.4414
angles (deg): 50.80 50.80 90.00
Positions (direct):
Ni1 0.5000 0.5000 0.0000
Ni2 0.2500 0.7500 0.5000
Li1 0.5832 0.1250 0.2500
Li2 0.1668 0.6250 0.2500
Li3 0.3750 0.4168 0.7500
Li4 0.8750 0.8332 0.7500
Ta1 0.0000 0.0000 0.0000
Ta2 0.7500 0.2500 0.5000

Summary:
* M_tot: 0.00 μB per cell

---

The data favor two; the next most stable structure lies 505 meV per atom above it.

---

one | Entry from Alexandria via LeMat-Bulk: a relaxed structure of Li2TaNi (PBE).

a b c (Å): 9.4903 9.4903 9.4903
angles (deg): 16.46 16.46 16.46
Positions (direct):
Li1 0.9895 0.9895 0.9895
Li2 0.5105 0.5105 0.5105
Ni1 0.2500 0.2500 0.2500
Ta1 0.7500 0.7500 0.7500

Summary:
* M_tot: 0.00 μB per cell

---

two | Entry from Alexandria via LeMat-Bulk: a relaxed structure of Li2TaNi (PBE).

a b c (Å): 4.7973 2.6535 4.5649
angles (deg): 87.08 90.00 90.00
Positions (direct):
Li1 0.0000 0.0683 0.0144
Li2 0.0000 0.4317 0.4856
Ni1 0.5000 0.2500 0.2500
Ta1 0.5000 0.7500 0.7500

Summary:
* M_tot: 0.00 μB per cell

---

The data favor two; the next most stable structure lies 79 meV per atom above it.

---

one | Entry from Alexandria via LeMat-Bulk: a relaxed structure of LiTa2Ni (PBE).

a b c (Å): 3.7409 4.1072 3.8618
angles (deg): 90.00 90.00 90.00
Positions (direct):
Li1 0.5000 0.0000 0.5000
Ni1 0.0000 0.5000 0.5000
Ta1 0.0000 0.0000 0.0000
Ta2 0.5000 0.5000 0.0000

Summary:
* M_tot: 0.00 μB per cell

---

two | Entry from Alexandria via LeMat-Bulk: a relaxed structure of LiTa2Ni (PBE).

a b c (Å): 4.4441 4.4441 4.4441
angles (deg): 60.00 60.00 60.00
Site moments in Bohr magnetons follow the coordinates.
Positions (direct):
Li1 0.5000 0.5000 0.5000  0.00
Ni1 0.7500 0.7500 0.7500  0.15
Ta1 0.0000 0.0000 0.0000  0.14
Ta2 0.2500 0.2500 0.2500  0.29

Summary:
* M_tot: 0.68 μB per cell

---

The data favor one; the next most stable structure lies 256 meV per atom above it.

---

one | Entry from Alexandria via LeMat-Bulk: a relaxed structure of Li2TaNi2 (PBE).

a b c (Å): 3.2573 3.2573 6.7864
angles (deg): 76.11 76.11 90.00
Positions (direct):
Ni1 0.4054 0.4054 0.1892
Ni2 0.5946 0.5946 0.8108
Li1 0.7500 0.2500 0.5000
Li2 0.2500 0.7500 0.5000
Ta1 0.0000 0.0000 0.0000

Summary:
* M_tot: 0.00 μB per cell

---

two | Entry from Alexandria via LeMat-Bulk: a relaxed structure of Li2TaNi2 (PBE).

a b c (Å): 6.8670 6.8670 2.6422
angles (deg): 90.00 90.00 90.00
Positions (direct):
Ni1 0.1940 0.6940 0.5000
Ni2 0.6940 0.8060 0.5000
Ni3 0.8060 0.3060 0.5000
Ni4 0.3060 0.1940 0.5000
Li1 0.3915 0.8915 0.0000
Li2 0.8915 0.6085 0.0000
Li3 0.6085 0.1085 0.0000
Li4 0.1085 0.3915 0.0000
Ta1 0.0000 0.0000 0.0000
Ta2 0.5000 0.5000 0.0000

Summary:
* M_tot: 0.00 μB per cell

---

The data favor one; the next most stable structure lies 37 meV per atom above it.